Entry from the Alexandria database: crystalline DyCo4Cu3O12 at its relaxed geometry (PBE+U).

Computed properties:
Total DFT energy (no corrections): -5.94 eV/atom
D(E_F): 0.145 states/eV/atom
Volume: 192 Å³/f.u.

Cell: 6.2990 6.2990 6.2990 Å, 109.47 109.47 109.47°
Positions (direct):
Dy: 0.0000 0.0000 0.0000
Co: 0.0000 0.0000 0.5000
Co: 0.0000 0.5000 0.0000
Co: 0.5000 0.0000 0.0000
Co: 0.5000 0.5000 0.5000
Cu: 0.0000 0.5000 0.5000
Cu: 0.5000 0.0000 0.5000
Cu: 0.5000 0.5000 0.0000
O: 0.1340 0.3049 0.8291
O: 0.1709 0.4758 0.3049
O: 0.1709 0.8660 0.6951
O: 0.3049 0.1709 0.4758
O: 0.3049 0.8291 0.1340
O: 0.4758 0.3049 0.1709
O: 0.5242 0.6951 0.8291
O: 0.6951 0.1709 0.8660
O: 0.6951 0.8291 0.5242
O: 0.8291 0.1340 0.3049
O: 0.8291 0.5242 0.6951
O: 0.8660 0.6951 0.1709